# 1
Material: Ag2Pb
Method: DFT, PBEsol
State: optimized geometry

Summary:
DFT total energy   -3.496 eV per atom
Space group   P6_3/mmc

Cell: 5.618 5.618 9.005 Å, 90.00 90.00 120.00°
Fractional positions:
Ag: 0.000 0.000 0.000
Ag: 0.000 0.000 0.500
Ag: 0.169 0.337 0.250
Ag: 0.169 0.831 0.250
Ag: 0.337 0.169 0.750
Ag: 0.663 0.831 0.250
Ag: 0.831 0.169 0.750
Ag: 0.831 0.663 0.750
Pb: 0.333 0.667 0.558
Pb: 0.333 0.667 0.942
Pb: 0.667 0.333 0.058
Pb: 0.667 0.333 0.442

# 2
Material: LiSi4Tc
Method: DFT, PBEsol
State: optimized geometry

Summary:
DFT total energy   -5.834 eV per atom
Space group   F-43m

Cell: 4.824 4.824 4.824 Å, 60.00 60.00 60.00°
Fractional positions:
Li: 0.000 0.000 0.000
Si: 0.375 0.375 0.375
Si: 0.375 0.375 0.875
Si: 0.375 0.875 0.375
Si: 0.875 0.375 0.375
Tc: 0.750 0.750 0.750

# 3
Material: CaTaBr2
Method: DFT, PBEsol
State: optimized geometry

Summary:
Energy above the lowest structure with this stoichiometry   0 meV per atom
DFT total energy   -4.844 eV per atom
Space group   Amm2

Cell: 5.095 5.381 5.381 Å, 35.86 90.00 90.00°
Fractional positions:
Ca: 0.000 0.000 0.000
Ta: 0.500 0.653 0.653
Br: 0.000 0.721 0.721
Br: 0.500 0.366 0.366

# 4
Material: TiAlCl2
Method: DFT, PBEsol
State: optimized geometry

Summary:
DFT total energy   -4.290 eV per atom
Space group   Fm-3m

Cell: 4.532 4.532 4.532 Å, 60.00 60.00 60.00°
Fractional positions:
Ti: 0.000 0.000 0.000
Al: 0.500 0.500 0.500
Cl: 0.250 0.250 0.250
Cl: 0.750 0.750 0.750

# 5
Material: ZnS
Method: DFT, PBEsol
State: optimized geometry

Summary:
DFT total energy   -3.794 eV per atom
Space group   P3m1

Cell: 3.786 3.786 74.237 Å, 90.00 90.00 120.00°
Fractional positions:
Zn: 0.000 0.000 0.000
Zn: 0.000 0.000 0.083
Zn: 0.000 0.000 0.250
Zn: 0.000 0.000 0.375
Zn: 0.000 0.000 0.500
Zn: 0.000 0.000 0.625
Zn: 0.000 0.000 0.750
Zn: 0.000 0.000 0.875
Zn: 0.333 0.667 0.042
Zn: 0.333 0.667 0.167
Zn: 0.333 0.667 0.292
Zn: 0.333 0.667 0.417
Zn: 0.333 0.667 0.542
Zn: 0.333 0.667 0.667
Zn: 0.333 0.667 0.792
Zn: 0.333 0.667 0.917
Zn: 0.667 0.333 0.125
Zn: 0.667 0.333 0.208
Zn: 0.667 0.333 0.333
Zn: 0.667 0.333 0.458
Zn: 0.667 0.333 0.583
Zn: 0.667 0.333 0.708
Zn: 0.667 0.333 0.833
Zn: 0.667 0.333 0.958
S: 0.000 0.000 0.052
S: 0.000 0.000 0.219
S: 0.000 0.000 0.344
S: 0.000 0.000 0.469
S: 0.000 0.000 0.594
S: 0.000 0.000 0.719
S: 0.000 0.000 0.844
S: 0.000 0.000 0.969
S: 0.333 0.667 0.010
S: 0.333 0.667 0.135
S: 0.333 0.667 0.260
S: 0.333 0.667 0.385
S: 0.333 0.667 0.510
S: 0.333 0.667 0.635
S: 0.333 0.667 0.760
S: 0.333 0.667 0.885
S: 0.667 0.333 0.094
S: 0.667 0.333 0.177
S: 0.667 0.333 0.302
S: 0.667 0.333 0.427
S: 0.667 0.333 0.552
S: 0.667 0.333 0.677
S: 0.667 0.333 0.802
S: 0.667 0.333 0.927

# 6
Material: TaAlNi2
Method: DFT, PBEsol
State: optimized geometry

Summary:
DFT total energy   -7.694 eV per atom
Space group   P4/mmm

Cell: 2.782 2.782 6.580 Å, 90.00 90.00 90.00°
Fractional positions:
Ta: 0.000 0.000 0.000
Al: 0.000 0.000 0.500
Ni: 0.500 0.500 0.277
Ni: 0.500 0.500 0.723

# 7
Material: TiNbHAu2
Method: DFT, PBEsol
State: optimized geometry

Summary:
DFT total energy   -5.500 eV per atom
Space group   P4/mmm

Cell: 5.076 5.076 3.343 Å, 90.00 90.00 90.00°
Fractional positions:
Ti: 0.000 0.000 0.000
Nb: 0.500 0.500 0.500
H: 0.500 0.500 0.000
Au: 0.000 0.500 0.500
Au: 0.500 0.000 0.500

# 8
Material: CoTe4Ir
Method: DFT, PBEsol
State: optimized geometry

Summary:
DFT total energy   -3.691 eV per atom
Space group   F-43m

Cell: 5.929 5.929 5.929 Å, 60.00 60.00 60.00°
Fractional positions:
Co: 0.000 0.000 0.000
Te: 0.126 0.625 0.625
Te: 0.625 0.126 0.625
Te: 0.625 0.625 0.126
Te: 0.625 0.625 0.625
Ir: 0.250 0.250 0.250

# 9
Material: Ca3MnN3
Method: DFT, PBEsol
State: optimized geometry

Summary:
DFT total energy   -6.940 eV per atom
Space group   Cmcm

Cell: 6.532 6.532 4.973 Å, 90.00 90.00 101.37°
Fractional positions:
Ca: 0.108 0.892 0.750
Ca: 0.171 0.406 0.750
Ca: 0.406 0.171 0.250
Ca: 0.594 0.829 0.750
Ca: 0.829 0.594 0.250
Ca: 0.892 0.108 0.250
Mn: 0.301 0.699 0.250
Mn: 0.699 0.301 0.750
N: 0.126 0.874 0.250
N: 0.181 0.433 0.250
N: 0.433 0.181 0.750
N: 0.567 0.819 0.250
N: 0.819 0.567 0.750
N: 0.874 0.126 0.750